one | A plane-wave DFT calculation with PBE was carried out for a relaxed structure of MnCuNi5.

Lattice parameters (Å, degrees): 8.1858 5.2066 8.4027 90.00 107.36 90.00
With the nearest neighbours (Å) after each atom.
Space group C2/c (No. 15)
Inequivalent atoms, fractional coordinates:
1 Mn 0.0000 0.0896 0.2500  7 Ni 2.37-2.50
2 Cu 0.2500 0.2500 0.0000  8 Ni 2.40-2.67
3 Ni 0.0000 0.3650 0.7500  8 Ni 2.30-2.56, 1 Mn 2.37, 2 Cu 2.53
4 Ni 0.1034 0.3386 0.4990  6 Ni 2.33-2.57, 1 Mn 2.39, 1 Cu 2.45
5 Ni 0.2409 0.3934 0.2685  4 Ni 2.30-2.56, 1 Cu 2.40, 2 Mn 2.40-2.50

Results
density of states at the Fermi level	9.6	states/eV/f.u.

two | A plane-wave DFT calculation with PBE was carried out for a relaxed structure of MnCuNi5.

Lattice parameters (Å, degrees): 7.0818 7.4608 6.4474 90.00 90.00 90.00
With the nearest neighbours (Å) after each atom.
Space group Imma (No. 74)
Inequivalent atoms, fractional coordinates:
1 Mn 0.2500 0.2500 0.2500  10 Ni 2.45-2.56, 2 Cu 2.61
2 Cu 0.0000 0.2500 0.5468  9 Ni 2.42-2.68, 2 Mn 2.61
3 Ni 0.0000 0.0221 0.2502  6 Ni 2.40-2.52, 2 Cu 2.42-2.56, 2 Mn 2.45
4 Ni 0.0000 0.2500 0.9624  8 Ni 2.45-2.58, 2 Mn 2.56, 1 Cu 2.68
5 Ni 0.2489 0.0000 0.0000  6 Ni 2.40-2.58, 2 Mn 2.47, 2 Cu 2.59

Results
density of states at the Fermi level	10.8	states/eV/f.u.

Quick one: most stable of them? two

one | A plane-wave DFT calculation with PBE was carried out for a relaxed structure of MnCu3Ni.

Lattice parameters (Å, degrees): 4.4210 4.4210 4.4210 90.00 90.00 90.00
With the nearest neighbours (Å) after each atom.
Space group Pm-3m (No. 221)
Inequivalent atoms, fractional coordinates:
1 Mn 0.0000 0.0000 0.0000  6 Cu 2.21
2 Cu 0.0000 0.0000 0.5000  2 Mn 2.21
3 Ni 0.5000 0.5000 0.5000  12 Cu 3.13

Results
density of states at the Fermi level	4.0	states/eV/f.u.

two | A plane-wave DFT calculation with PBE was carried out for a relaxed structure of MnCu3Ni.

Lattice parameters (Å, degrees): 4.3594 4.3594 4.3594 90.00 90.00 90.00
With the nearest neighbours (Å) after each atom.
Space group Pm-3m (No. 221)
Inequivalent atoms, fractional coordinates:
1 Mn 0.0000 0.0000 0.0000  12 Cu 3.08
2 Cu 0.0000 0.5000 0.5000  2 Ni 2.18
3 Ni 0.5000 0.5000 0.5000  6 Cu 2.18

Results
density of states at the Fermi level	2.7	states/eV/f.u.

Quick one: most stable of them? two

one | A plane-wave DFT calculation with PBE was carried out for a relaxed structure of MnCuNi.

Lattice parameters (Å, degrees): 5.5788 5.5788 5.5788 90.00 90.00 90.00
With the nearest neighbours (Å) after each atom.
Space group F-43m (No. 216)
Inequivalent atoms, fractional coordinates:
1 Mn 0.0000 0.0000 0.0000  4 Ni 2.42, 4 Cu 2.42
2 Cu 0.2500 0.2500 0.7500  4 Mn 2.42
3 Ni 0.2500 0.2500 0.2500  4 Mn 2.42

Results
density of states at the Fermi level	1.3	states/eV/f.u.

two | A plane-wave DFT calculation with PBE was carried out for a relaxed structure of MnCuNi.

Lattice parameters (Å, degrees): 5.5793 5.5793 5.5793 90.00 90.00 90.00
With the nearest neighbours (Å) after each atom.
Space group F-43m (No. 216)
Inequivalent atoms, fractional coordinates:
1 Mn 0.0000 0.0000 0.0000  4 Ni 2.42
2 Cu 0.0000 0.0000 0.5000  4 Ni 2.42
3 Ni 0.2500 0.2500 0.2500  4 Mn 2.42, 4 Cu 2.42

Results
density of states at the Fermi level	1.0	states/eV/f.u.

Quick one: most stable of them? two

one | A plane-wave DFT calculation with PBE was carried out for a relaxed structure of MnCuNi.

Lattice parameters (Å, degrees): 4.0685 4.0685 2.5415 90.00 90.00 120.00
With the nearest neighbours (Å) after each atom.
Space group P3m1 (No. 156)
Inequivalent atoms, fractional coordinates:
1 Mn 0.0000 0.0000 0.0000  3 Ni 2.48, 3 Cu 2.52, 2 Mn 2.54
2 Cu 0.3333 0.6667 0.6405  3 Ni 2.49, 3 Mn 2.52, 2 Cu 2.54
3 Ni 0.6667 0.3333 0.3128  3 Mn 2.48, 3 Cu 2.49, 2 Ni 2.54

Results
density of states at the Fermi level	2.1	states/eV/f.u.

two | A plane-wave DFT calculation with PBE was carried out for a relaxed structure of MnCuNi.

Lattice parameters (Å, degrees): 2.6947 3.4347 7.8442 90.00 90.00 90.00
With the nearest neighbours (Å) after each atom.
Space group Imm2 (No. 44)
Inequivalent atoms, fractional coordinates:
1 Mn 0.0000 0.0000 0.0000  5 Ni 2.52-2.66, 5 Cu 2.57, 2 Mn 2.69
2 Cu 0.0000 0.0000 0.3275  5 Ni 2.54-2.62, 5 Mn 2.57, 2 Cu 2.69
3 Ni 0.0000 0.0000 0.6614  5 Mn 2.52-2.66, 5 Cu 2.54-2.62, 2 Ni 2.69

Results
density of states at the Fermi level	1.3	states/eV/f.u.

Quick one: most stable of them? two

one | A plane-wave DFT calculation with PBE was carried out for a relaxed structure of MnCu2Ni8.

Lattice parameters (Å, degrees): 6.5015 12.3977 4.3032 90.00 130.83 90.00
With the nearest neighbours (Å) after each atom.
Space group C2/m (No. 12)
Inequivalent atoms, fractional coordinates:
1 Mn 0.0000 0.0000 0.0000  4 Ni 2.47-2.55
2 Cu 0.0000 0.3168 0.5000  12 Ni 2.47-2.62
3 Ni 0.0000 0.1988 0.0000  6 Ni 2.44-2.59, 1 Mn 2.47, 4 Cu 2.47-2.60
4 Ni 0.0267 0.5000 0.7716  4 Ni 2.13-2.34
5 Ni 0.2360 0.1345 0.7281  7 Ni 2.32-2.60, 2 Cu 2.54

Results
density of states at the Fermi level	15.9	states/eV/f.u.

two | A plane-wave DFT calculation with PBE was carried out for a relaxed structure of MnCu2Ni8.

Lattice parameters (Å, degrees): 7.2083 9.4574 3.8278 90.00 90.00 90.00
With the nearest neighbours (Å) after each atom.
Space group Cmmm (No. 65)
Inequivalent atoms, fractional coordinates:
1 Mn 0.0000 0.0000 0.0000  12 Ni 2.34-2.58
2 Cu 0.0000 0.3782 0.5000  8 Ni 2.28-2.54, 1 Cu 2.30
3 Ni 0.0000 0.2471 0.0000  2 Cu 2.28, 1 Mn 2.34, 4 Ni 2.51
4 Ni 0.1674 0.1322 0.5000  2 Cu 2.40-2.62, 7 Ni 2.41-2.57, 2 Mn 2.58
5 Ni 0.1684 0.5000 0.0000  1 Mn 2.39, 5 Ni 2.43-2.57, 4 Cu 2.54

Results
density of states at the Fermi level	13.4	states/eV/f.u.

Quick one: most stable of them? one